No. 1
DFT (PBE) results for a relaxed structure of MgTlRuRh2.

Unit cell a=4.7271 b=4.7271 c=5.1613 alpha=90.00 beta=90.00 gamma=90.00
Space group P4/mmm (No. 123)
Unique sites:
Mg1 0.0000 0.0000 0.0000 (multiplicity 1)
Tl1 0.5000 0.5000 0.0000 (multiplicity 1)
Ru1 0.5000 0.5000 0.5000 (multiplicity 1)
Rh1 0.0000 0.5000 0.5000 (multiplicity 2)

## Properties
The density of states at the Fermi level is 1.207 states/eV per atom. Its formation energy is 893 meV/atom.

No. 2
DFT (PBE) results for a relaxed structure of MgURuRh.

Unit cell a=6.5540 b=6.5540 c=6.5540 alpha=90.00 beta=90.00 gamma=90.00
Space group F-43m (No. 216)
Unique sites:
Mg1 0.0000 0.0000 0.0000 (multiplicity 4)
U1 0.0000 0.0000 0.5000 (multiplicity 4)
Ru1 0.2500 0.2500 0.2500 (multiplicity 4)
Rh1 0.2500 0.2500 0.7500 (multiplicity 4)

## Properties
The density of states at the Fermi level is 1.790 states/eV per atom. Its formation energy is -343 meV/atom.

No. 3
DFT (PBE) results for a relaxed structure of MgRuRhW.

Unit cell a=6.2129 b=6.2129 c=6.2129 alpha=90.00 beta=90.00 gamma=90.00
Space group F-43m (No. 216)
Unique sites:
Mg1 0.0000 0.0000 0.0000 (multiplicity 4)
Ru1 0.2500 0.2500 0.2500 (multiplicity 4)
Rh1 0.2500 0.2500 0.7500 (multiplicity 4)
W1 0.0000 0.0000 0.5000 (multiplicity 4)

## Properties
The density of states at the Fermi level is 0.981 states/eV per atom. Its formation energy is -140 meV/atom.

No. 4
DFT (PBE) results for a relaxed structure of YMgRuRh.

Unit cell a=6.5639 b=6.5639 c=6.5639 alpha=90.00 beta=90.00 gamma=90.00
Space group F-43m (No. 216)
Unique sites:
Y1 0.0000 0.0000 0.0000 (multiplicity 4)
Mg1 0.0000 0.0000 0.5000 (multiplicity 4)
Ru1 0.2500 0.2500 0.2500 (multiplicity 4)
Rh1 0.2500 0.2500 0.7500 (multiplicity 4)

## Properties
The density of states at the Fermi level is 0.675 states/eV per atom. Its formation energy is -343 meV/atom.

No. 5
DFT (PBE) results for a relaxed structure of MgZnRu2Rh.

Unit cell a=4.4988 b=4.4988 c=4.4469 alpha=90.00 beta=90.00 gamma=90.00
Space group P4/mmm (No. 123)
Unique sites:
Mg1 0.0000 0.0000 0.0000 (multiplicity 1)
Zn1 0.0000 0.0000 0.5000 (multiplicity 1)
Ru1 0.0000 0.5000 0.5000 (multiplicity 2)
Rh1 0.5000 0.5000 0.0000 (multiplicity 1)

## Properties
The density of states at the Fermi level is 1.528 states/eV per atom. Its formation energy is 1264 meV/atom.

No. 6
DFT (PBE) results for a relaxed structure of MgZrRuRh.

Unit cell a=3.2425 b=3.2425 c=6.2949 alpha=90.00 beta=90.00 gamma=90.00
Space group P4mm (No. 99)
Unique sites:
Mg1 0.0000 0.0000 0.0000 (multiplicity 1)
Zr1 0.0000 0.0000 0.4914 (multiplicity 1)
Ru1 0.5000 0.5000 0.2507 (multiplicity 1)
Rh1 0.5000 0.5000 0.7536 (multiplicity 1)

## Properties
The density of states at the Fermi level is 0.384 states/eV per atom. Its formation energy is -570 meV/atom. The value obtained for the energy above the most stable polymorph in this dataset is 0.000 eV/atom.

No. 7
DFT (PBE) results for a relaxed structure of MgZrRuRh.

Unit cell a=6.4046 b=6.4046 c=6.4046 alpha=90.00 beta=90.00 gamma=90.00
Space group F-43m (No. 216)
Unique sites:
Mg1 0.0000 0.0000 0.0000 (multiplicity 4)
Zr1 0.0000 0.0000 0.5000 (multiplicity 4)
Ru1 0.2500 0.2500 0.7500 (multiplicity 4)
Rh1 0.2500 0.2500 0.2500 (multiplicity 4)

## Properties
The density of states at the Fermi level is 0.622 states/eV per atom. Its formation energy is -566 meV/atom. The value obtained for the energy above the most stable polymorph in this dataset is 0.004 eV/atom.

No. 8
DFT (PBE) results for a relaxed structure of MgRhS3.

Unit cell a=4.6682 b=4.6682 c=4.6682 alpha=90.00 beta=90.00 gamma=90.00
Space group Pm-3m (No. 221)
Unique sites:
Mg1 0.0000 0.0000 0.0000 (multiplicity 1)
Rh1 0.5000 0.5000 0.5000 (multiplicity 1)
S1 0.0000 0.5000 0.5000 (multiplicity 3)

## Properties
Its uncorrected formation energy is 0.078 eV/atom. The density of states at the Fermi level is 1.087 states/eV per atom. The value obtained for the energy above the most stable polymorph in this dataset is 0.000 eV/atom.

No. 9
DFT (PBE) results for a relaxed structure of MgRh5S8.

Unit cell a=10.0440 b=10.0440 c=10.0440 alpha=90.00 beta=90.00 gamma=90.00
Space group F-43m (No. 216)
Unique sites:
Mg1 0.0000 0.0000 0.0000 (multiplicity 4)
Rh1 0.1246 0.1246 0.6246 (multiplicity 16)
Rh2 0.2500 0.2500 0.2500 (multiplicity 4)
S1 0.1142 0.1142 0.3858 (multiplicity 16)
S2 0.1398 0.1398 0.8602 (multiplicity 16)

## Properties
Its uncorrected formation energy is -0.517 eV/atom. The density of states at the Fermi level is 0.616 states/eV per atom.

No. 10
DFT (PBE) results for a relaxed structure of Mg2RhS.

Unit cell a=7.0566 b=7.0566 c=5.5941 alpha=90.00 beta=90.00 gamma=90.00
Space group I-42d (No. 122)
Unique sites:
Mg1 0.2260 0.2500 0.1250 (multiplicity 8)
Rh1 0.0000 0.0000 0.5000 (multiplicity 4)
S1 0.0000 0.0000 0.0000 (multiplicity 4)

## Properties
Its uncorrected formation energy is -0.303 eV/atom. The density of states at the Fermi level is 0.472 states/eV per atom.

No. 11
DFT (PBE) results for a relaxed structure of MgRhS.

Unit cell a=4.0958 b=13.8366 c=3.9497 alpha=90.00 beta=90.00 gamma=90.00
Space group Cmcm (No. 63)
Unique sites:
Mg1 0.0000 0.1670 0.2500 (multiplicity 4)
Rh1 0.0000 0.4446 0.7500 (multiplicity 4)
S1 0.0000 0.3483 0.2500 (multiplicity 4)

## Properties
Its uncorrected formation energy is -0.486 eV/atom. The density of states at the Fermi level is 0.499 states/eV per atom.

No. 12
DFT (PBE) results for a relaxed structure of MgRh2S.

Unit cell a=7.0821 b=7.0821 c=5.3417 alpha=90.00 beta=90.00 gamma=90.00
Space group I-42d (No. 122)
Unique sites:
Mg1 0.0000 0.0000 0.0000 (multiplicity 4)
Rh1 0.1571 0.7500 0.6250 (multiplicity 8)
S1 0.0000 0.0000 0.5000 (multiplicity 4)

## Properties
Its uncorrected formation energy is -0.244 eV/atom. The density of states at the Fermi level is 0.205 states/eV per atom.

No. 13
DFT (PBE) results for a relaxed structure of MgSi2RhS.

Unit cell a=4.6272 b=4.6272 c=4.4582 alpha=90.00 beta=90.00 gamma=90.00
Space group P4/mmm (No. 123)
Unique sites:
Mg1 0.0000 0.0000 0.0000 (multiplicity 1)
Si1 0.0000 0.5000 0.5000 (multiplicity 2)
Rh1 0.5000 0.5000 0.0000 (multiplicity 1)
S1 0.5000 0.5000 0.5000 (multiplicity 1)

## Properties
Its uncorrected formation energy is 0.490 eV/atom. The density of states at the Fermi level is 0.595 states/eV per atom.

No. 14
DFT (PBE) results for a relaxed structure of Mg2RhWS.

Unit cell a=4.6243 b=4.6243 c=4.4797 alpha=90.00 beta=90.00 gamma=90.00
Space group P4/mmm (No. 123)
Unique sites:
Mg1 0.0000 0.5000 0.0000 (multiplicity 2)
Rh1 0.0000 0.0000 0.5000 (multiplicity 1)
W1 0.5000 0.5000 0.5000 (multiplicity 1)
S1 0.0000 0.0000 0.0000 (multiplicity 1)

## Properties
Its uncorrected formation energy is 0.697 eV/atom. The density of states at the Fermi level is 0.773 states/eV per atom.

No. 15
DFT (PBE) results for a relaxed structure of Mg3SbRh.

Unit cell a=4.9158 b=4.9158 c=4.9158 alpha=90.00 beta=90.00 gamma=90.00
Space group Pm-3m (No. 221)
Unique sites:
Mg1 0.0000 0.0000 0.5000 (multiplicity 3)
Sb1 0.5000 0.5000 0.5000 (multiplicity 1)
Rh1 0.0000 0.0000 0.0000 (multiplicity 1)

## Properties
Its uncorrected formation energy is -0.046 eV/atom. The density of states at the Fermi level is 0.364 states/eV per atom. The value obtained for the energy above the most stable polymorph in this dataset is 0.000 eV/atom.

No. 16
DFT (PBE) results for a relaxed structure of MgSb3Rh.

Unit cell a=5.2038 b=5.2038 c=5.2038 alpha=90.00 beta=90.00 gamma=90.00
Space group Pm-3m (No. 221)
Unique sites:
Mg1 0.0000 0.0000 0.0000 (multiplicity 1)
Sb1 0.0000 0.5000 0.5000 (multiplicity 3)
Rh1 0.5000 0.5000 0.5000 (multiplicity 1)

## Properties
Its uncorrected formation energy is 0.251 eV/atom. The density of states at the Fermi level is 1.626 states/eV per atom. The value obtained for the energy above the most stable polymorph in this dataset is 0.000 eV/atom.

No. 17
DFT (PBE) results for a relaxed structure of Mg2SbRh3.

Unit cell a=4.4944 b=6.2363 c=7.1404 alpha=90.00 beta=108.26 gamma=90.00
Space group P2/m (No. 10)
Unique sites:
Mg1 0.0000 0.0000 0.0000 (multiplicity 1)
Mg2 0.0000 0.5000 0.0000 (multiplicity 1)
Mg3 0.3328 0.0000 0.6653 (multiplicity 2)
Sb1 0.3424 0.5000 0.6848 (multiplicity 2)
Rh1 0.1713 0.2601 0.3428 (multiplicity 4)
Rh2 0.5000 0.2479 0.0000 (multiplicity 2)

## Properties
Its uncorrected formation energy is -0.573 eV/atom. The density of states at the Fermi level is 0.416 states/eV per atom. The value obtained for the energy above the most stable polymorph in this dataset is 0.047 eV/atom.

No. 18
DFT (PBE) results for a relaxed structure of Mg2SbRh3.

Unit cell a=4.4650 b=4.4650 c=5.4399 alpha=90.00 beta=90.00 gamma=120.00
Space group P-3m1 (No. 164)
Unique sites:
Mg1 0.3333 0.6667 0.1511 (multiplicity 2)
Sb1 0.0000 0.0000 0.5000 (multiplicity 1)
Rh1 0.0000 0.0000 0.0000 (multiplicity 1)
Rh2 0.3333 0.6667 0.6569 (multiplicity 2)

## Properties
Its uncorrected formation energy is -0.620 eV/atom. The density of states at the Fermi level is 0.450 states/eV per atom. The value obtained for the energy above the most stable polymorph in this dataset is 0.000 eV/atom.

No. 19
DFT (PBE) results for a relaxed structure of Mg4SbRh2.

Unit cell a=5.1928 b=5.1928 c=13.2180 alpha=90.00 beta=90.00 gamma=90.00
Space group I4/mmm (No. 139)
Unique sites:
Mg1 0.0000 0.0000 0.2118 (multiplicity 4)
Mg2 0.0000 0.5000 0.0000 (multiplicity 4)
Sb1 0.0000 0.0000 0.0000 (multiplicity 2)
Rh1 0.0000 0.0000 0.4037 (multiplicity 4)

## Properties
Its uncorrected formation energy is 0.409 eV/atom. The density of states at the Fermi level is 1.339 states/eV per atom.

No. 20
DFT (PBE) results for a relaxed structure of Mg3SbRh3.

Unit cell a=8.8124 b=8.8124 c=5.4558 alpha=90.00 beta=90.00 gamma=120.00
Space group R-3m (No. 166, hexagonal axes)
Unique sites:
Mg1 0.0000 0.5000 0.0000 (multiplicity 9)
Sb1 0.0000 0.0000 0.0000 (multiplicity 3)
Rh1 0.0000 0.5000 0.5000 (multiplicity 9)

## Properties
Its uncorrected formation energy is -0.559 eV/atom. The density of states at the Fermi level is 0.339 states/eV per atom.